## LaPr2Cd (PBE)

Data for a geometry-optimized LaPr2Cd structure.

The energy relative to the lowest polymorph listed for this composition is 0.107 eV/atom. The volume comes out at 34.04 A^3/atom. The total energy comes out at -46.79 eV per cell.

It has space group R3m (No. 160, hexagonal axes), with a = 3.7267 Å, b = 3.7267 Å, c = 33.9622 Å, α = 90.00°, β = 90.00° and γ = 120.00°. The distinct sites, in fractional coordinates, are La at (0.0000, 0.0000, 0.0000), Pr at (0.0000, 0.0000, 0.5762), Pr at (0.0000, 0.0000, 0.7583) and Cd at (0.0000, 0.0000, 0.1671).

=====

## La2PrCd3 (PBE)

Data for a geometry-optimized La2PrCd3 structure.

The energy relative to the lowest polymorph listed for this composition is 0.002 eV/atom. The volume comes out at 30.11 A^3/atom. The total energy comes out at -19.32 eV per cell.

It has space group P4/mmm (No. 123), with a = 3.916 Å, b = 3.916 Å, c = 11.781 Å, α = 90.00°, β = 90.00° and γ = 90.00°. The distinct sites, in fractional coordinates, are La at (0.000, 0.000, 0.169), Pr at (0.000, 0.000, 0.500), Cd at (0.500, 0.500, 0.000) and Cd at (0.500, 0.500, 0.338).

=====

## La4Pr3Cd (PBE)

Data for a geometry-optimized La4Pr3Cd structure.

The energy relative to the lowest polymorph listed for this composition is 0.000 eV/atom. The volume comes out at 34.35 A^3/atom. The total energy comes out at -70.79 eV per cell.

It has space group Pmn2_1 (No. 31), with a = 11.770 Å, b = 7.344 Å, c = 6.359 Å, α = 90.00°, β = 90.00° and γ = 90.00°. The distinct sites, in fractional coordinates, are La at (0.000, 0.104, 0.000), La at (0.000, 0.863, 0.553), La at (0.231, 0.864, 0.193), Pr at (0.000, 0.374, 0.549), Pr at (0.234, 0.380, 0.193) and Cd at (0.000, 0.609, 0.023).